No. 1
The following is a PBE-GGA calculation of a geometry-optimized LiBeBr structure, from Alexandria via LeMat-Bulk.

formation energy from raw total energies	116	meV/atom
calculated volume	21.25	Å³/atom
polymorph energy (0 for the lowest one)	13.15	kJ per mole of atoms
total magnetization	0.00	μB per cell

abc: 6.434 6.434 6.434
angles: 150.67 150.67 41.95
Atoms (fractional coordinates):
Li  0.000  0.000  0.000
Be  0.374  0.374  0.000
Br  0.772  0.772  0.000

=====

No. 2
The following is a PBE-GGA calculation of a geometry-optimized LiBe2Br structure, from Alexandria via LeMat-Bulk.

formation energy from raw total energies	126	meV/atom
calculated volume	15.75	Å³/atom
polymorph energy (0 for the lowest one)	2.27	kJ per mole of atoms
total magnetization	0.00	μB per cell

abc: 6.033 6.033 6.033
angles: 148.82 146.21 46.64
Atoms (fractional coordinates):
Li  0.000  0.000  0.000
Be  0.270  0.270  0.000
Be  0.730  0.730  0.000
Br  0.500  0.500  0.000

=====

No. 3
The following is a PBE-GGA calculation of a geometry-optimized Li2BeBr structure, from Alexandria via LeMat-Bulk.

formation energy from raw total energies	31	meV/atom
calculated volume	22.34	Å³/atom
polymorph energy (0 for the lowest one)	26.69	kJ per mole of atoms
total magnetization	0.00	μB per cell

abc: 5.500 5.500 5.500
angles: 144.41 108.45 82.54
Atoms (fractional coordinates):
Li  0.226  0.226  0.000
Li  0.774  0.774  0.000
Be  0.500  0.000  0.500
Br  0.000  0.500  0.500

=====

No. 4
The following is a PBE-GGA calculation of a geometry-optimized Li3BeBr structure, from Alexandria via LeMat-Bulk.

formation energy from raw total energies	181	meV/atom
calculated volume	22.19	Å³/atom
polymorph energy (0 for the lowest one)	14.76	kJ per mole of atoms
total magnetization	1.82	μB per cell

abc: 4.805 4.805 4.805
angles: 90.00 90.00 90.00
Atoms (fractional coordinates):
Li  0.000  0.000  0.500
Li  0.000  0.500  0.000
Li  0.500  0.000  0.000
Be  0.000  0.000  0.000
Br  0.500  0.500  0.500